1.
# PBE YZnIn, relaxed
# energy of formation from the pure elements	-0.402	eV per atom
# M_tot	0.0	μB per formula unit
data_YZnIn
_chemical_formula_sum 'Y4 Zn4 In4'
_space_group_name_H-M_alt 'P n m a'
_space_group_IT_number 62
_cell_length_a 6.287
_cell_length_b 4.855
_cell_length_c 8.850
_cell_angle_alpha 90.00
_cell_angle_beta 90.00
_cell_angle_gamma 90.00
loop_
_space_group_symop_operation_xyz
'x,y,z'
'-x,-y,-z'
'-x+1/2,-y,z+1/2'
'x+1/2,y,-z+1/2'
'x+1/2,-y+1/2,-z+1/2'
'-x+1/2,y+1/2,z+1/2'
'-x,y+1/2,-z'
'x,-y+1/2,z'
loop_
_atom_site_label
_atom_site_fract_x
_atom_site_fract_y
_atom_site_fract_z
_atom_site_occupancy
Y1 0.210 0.250 0.078 1
Zn1 0.196 0.250 0.409 1
In1 0.014 0.250 0.731 1

=====

2.
# PBE Y2ZnIn, relaxed
# energy of formation from the pure elements	-0.352	eV per atom
# M_tot	0.0	μB per formula unit
data_Y2ZnIn
_chemical_formula_sum 'Y4 Zn2 In2'
_space_group_name_H-M_alt 'I m m 2'
_space_group_IT_number 44
_cell_length_a 3.636
_cell_length_b 5.076
_cell_length_c 10.877
_cell_angle_alpha 90.00
_cell_angle_beta 90.00
_cell_angle_gamma 90.00
loop_
_space_group_symop_operation_xyz
'x,y,z'
'-x,-y,z'
'-x,y,z'
'x,-y,z'
'x+1/2,y+1/2,z+1/2'
'-x+1/2,-y+1/2,z+1/2'
'-x+1/2,y+1/2,z+1/2'
'x+1/2,-y+1/2,z+1/2'
loop_
_atom_site_label
_atom_site_fract_x
_atom_site_fract_y
_atom_site_fract_z
_atom_site_occupancy
Y1 0.000 0.000 0.000 1
Y2 0.000 0.500 0.228 1
Zn1 0.000 0.500 0.747 1
In1 0.000 0.000 0.446 1

=====

3.
# PBE Y3Zn4In2, relaxed
# energy of formation from the pure elements	-0.435	eV per atom
# M_tot	0.0	μB per formula unit
data_Y3Zn4In2
_chemical_formula_sum 'Y6 Zn8 In4'
_space_group_name_H-M_alt 'C 1 2/m 1'
_space_group_IT_number 12
_cell_length_a 10.731
_cell_length_b 4.620
_cell_length_c 8.785
_cell_angle_alpha 90.00
_cell_angle_beta 114.00
_cell_angle_gamma 90.00
loop_
_space_group_symop_operation_xyz
'x,y,z'
'-x,-y,-z'
'-x,y,-z'
'x,-y,z'
'x+1/2,y+1/2,z'
'-x+1/2,-y+1/2,-z'
'-x+1/2,y+1/2,-z'
'x+1/2,-y+1/2,z'
loop_
_atom_site_label
_atom_site_fract_x
_atom_site_fract_y
_atom_site_fract_z
_atom_site_occupancy
Y1 0.000 0.000 0.000 1
Y2 0.163 0.500 0.674 1
Zn1 0.070 0.000 0.412 1
Zn2 0.217 0.500 0.040 1
In1 0.116 0.500 0.280 1

=====

4.
# PBE YZnIn, relaxed
# energy of formation from the pure elements	-0.294	eV per atom
# M_tot	0.0	μB per formula unit
data_YZnIn
_chemical_formula_sum 'Y4 Zn4 In4'
_space_group_name_H-M_alt 'P n m a'
_space_group_IT_number 62
_cell_length_a 6.481
_cell_length_b 4.644
_cell_length_c 9.312
_cell_angle_alpha 90.00
_cell_angle_beta 90.00
_cell_angle_gamma 90.00
loop_
_space_group_symop_operation_xyz
'x,y,z'
'-x,-y,-z'
'-x+1/2,-y,z+1/2'
'x+1/2,y,-z+1/2'
'x+1/2,-y+1/2,-z+1/2'
'-x+1/2,y+1/2,z+1/2'
'-x,y+1/2,-z'
'x,-y+1/2,z'
loop_
_atom_site_label
_atom_site_fract_x
_atom_site_fract_y
_atom_site_fract_z
_atom_site_occupancy
Y1 0.143 0.250 0.096 1
Zn1 0.085 0.250 0.748 1
In1 0.134 0.250 0.426 1

=====

5.
# PBE Y3Zn2In4, relaxed
# energy of formation from the pure elements	-0.439	eV per atom
# M_tot	0.0	μB per formula unit
data_Y3Zn2In4
_chemical_formula_sum 'Y6 Zn4 In8'
_space_group_name_H-M_alt 'C 1 2/m 1'
_space_group_IT_number 12
_cell_length_a 11.002
_cell_length_b 4.753
_cell_length_c 9.039
_cell_angle_alpha 90.00
_cell_angle_beta 115.23
_cell_angle_gamma 90.00
loop_
_space_group_symop_operation_xyz
'x,y,z'
'-x,-y,-z'
'-x,y,-z'
'x,-y,z'
'x+1/2,y+1/2,z'
'-x+1/2,-y+1/2,-z'
'-x+1/2,y+1/2,-z'
'x+1/2,-y+1/2,z'
loop_
_atom_site_label
_atom_site_fract_x
_atom_site_fract_y
_atom_site_fract_z
_atom_site_occupancy
Y1 0.000 0.000 0.000 1
Y2 0.166 0.500 0.664 1
Zn1 0.114 0.500 0.285 1
In1 0.059 0.000 0.384 1
In2 0.217 0.500 0.063 1

=====

6.
# PBE Y2ZnIn, relaxed
# energy of formation from the pure elements	-0.206	eV per atom
# M_tot	0.0	μB per formula unit
data_Y2ZnIn
_chemical_formula_sum 'Y2 Zn1 In1'
_space_group_name_H-M_alt 'P 4 m m'
_space_group_IT_number 99
_cell_length_a 3.485
_cell_length_b 3.485
_cell_length_c 8.472
_cell_angle_alpha 90.00
_cell_angle_beta 90.00
_cell_angle_gamma 90.00
loop_
_space_group_symop_operation_xyz
'x,y,z'
'-y,x,z'
'-x,-y,z'
'y,-x,z'
'-x,y,z'
'y,x,z'
'x,-y,z'
'-y,-x,z'
loop_
_atom_site_label
_atom_site_fract_x
_atom_site_fract_y
_atom_site_fract_z
_atom_site_occupancy
Y1 0.000 0.000 0.000 1
Y2 0.500 0.500 0.313 1
Zn1 0.000 0.000 0.535 1
In1 0.500 0.500 0.730 1